Entry 1:
First-principles (PBE) data for a relaxed LiReOs3 crystal, as listed in Alexandria via LeMat-Bulk.

Properties
**V**: 67 Å³/f.u.
**Energy relative to the lowest polymorph listed for this composition**: 0.0 meV per atom
**Symmetry**: Pm-3m (221)
**Energy relative to the elements**: 1.15 eV/atom

extended XYZ file:
```
5
Lattice="4.0679 0.0000 0.0000 0.0000 4.0679 0.0000 0.0000 0.0000 4.0679" Properties=species:S:1:pos:R:3 pbc="T T T"
Re 2.0339 2.0339 2.0339
Os 0.0000 2.0339 0.0000
Os 0.0000 0.0000 2.0339
Os 2.0339 0.0000 0.0000
Li 0.0000 0.0000 0.0000
```


Entry 2:
First-principles (PBE) data for a relaxed TcAsBr2F crystal, as listed in Alexandria via LeMat-Bulk.

Properties
**V**: 119 Å³/f.u.
**Energy relative to the lowest polymorph listed for this composition**: 416.9 meV per atom
**Symmetry**: P4/mmm (123)

extended XYZ file:
```
5
Lattice="-4.4323 0.2999 3.3113 -2.5421 -3.8624 -3.0528 1.4981 -2.7692 2.2560" Properties=species:S:1:pos:R:3 pbc="T T T"
As 0.7491 -1.3846 1.1280
Tc -2.7381 -3.1658 1.2573
Br -1.2710 -1.9312 -1.5264
Br -2.2161 0.1499 1.6557
F 0.0000 0.0000 0.0000
```


Entry 3:
First-principles (PBE) data for a relaxed LaNd3Ge2 crystal, as listed in Alexandria via LeMat-Bulk.

Properties
**V**: 173 Å³/f.u.
**Symmetry**: P-4m2 (115)
**Energy relative to the elements**: -0.56 eV/atom

extended XYZ file:
```
6
Lattice="-0.6139 4.4365 -0.6712 -3.1152 -0.9089 -3.1589 -6.0224 0.0625 5.9211" Properties=species:S:1:pos:R:3 pbc="T T T"
La -1.8645 1.7638 -1.9150
Nd -2.4794 2.2408 1.8004
Nd -5.4075 -0.4145 2.2057
Nd 0.0000 0.0000 0.0000
Ge -4.6570 2.2634 3.9413
Ge -3.2299 -0.4371 0.0647
```


Entry 4:
First-principles (PBE) data for a relaxed BaP2AuCl crystal, as listed in Alexandria via LeMat-Bulk.

Properties
**V**: 241 Å³/f.u.
**Energy relative to the lowest polymorph listed for this composition**: 1108.6 meV per atom
**Symmetry**: P4/mmm (123)

extended XYZ file:
```
5
Lattice="6.4514 0.0000 0.0000 0.0000 6.4514 0.0000 0.0000 0.0000 5.7925" Properties=species:S:1:pos:R:3 pbc="T T T"
P 0.0000 3.2257 0.0000
P 3.2257 0.0000 0.0000
Au 3.2257 3.2257 2.8962
Ba 0.0000 0.0000 0.0000
Cl 0.0000 0.0000 2.8962
```


Entry 5:
First-principles (PBE) data for a relaxed TmGa2Co2C crystal, as listed in Alexandria via LeMat-Bulk.

Properties
**V**: 92 Å³/f.u.
**Symmetry**: I4/mmm (139)
**Energy relative to the elements**: -0.19 eV/atom

extended XYZ file:
```
6
Lattice="-2.0785 2.8924 1.2859 1.2552 -0.6590 3.5114 5.3281 2.8655 -3.4088" Properties=species:S:1:pos:R:3 pbc="T T T"
Tm -0.4117 1.1167 2.3986
Ga 3.0858 1.6616 1.2506
Ga 1.4189 3.4373 0.1379
Co 3.1865 4.0311 1.6593
Co 1.3182 1.0677 -0.2709
C 0.0000 0.0000 0.0000
```


Entry 6:
First-principles (PBE) data for a relaxed LaSm6Ho2Tm3 crystal, as listed in Alexandria via LeMat-Bulk.

Properties
**V**: 391 Å³/f.u.
**Symmetry**: C2/m (12)
**Energy relative to the elements**: 0.02 eV/atom

extended XYZ file:
```
12
Lattice="6.2192 -0.0007 0.0200 -3.1087 5.3865 0.0200 -1.0730 -1.8579 11.6516" Properties=species:S:1:pos:R:3 pbc="T T T"
La 0.0000 0.0000 0.0000
Sm 3.0860 1.7393 8.7248
Sm 2.0616 3.5696 2.9895
Sm -1.0485 1.7886 2.9667
Sm -0.0357 3.5422 8.7248
Sm -0.0241 -0.0417 8.7021
Sm 2.0732 -0.0143 2.9667
Ho 0.0016 3.5902 0.0200
Ho 3.1089 1.7956 0.0200
Tm -2.0862 3.5572 5.8458
Tm 4.1237 -0.0293 5.8458
Tm 1.0188 1.7640 5.8458
```


Entry 7:
First-principles (PBE) data for a relaxed Au2IF crystal, as listed in Alexandria via LeMat-Bulk.

Properties
**V**: 93 Å³/f.u.
**Energy relative to the lowest polymorph listed for this composition**: 0.0 meV per atom
**Symmetry**: I-42d (122)

extended XYZ file:
```
8
Lattice="-0.2552 -2.9884 3.8127 -3.6263 -2.4136 -2.1345 3.2941 -7.5291 -2.5949" Properties=species:S:1:pos:R:3 pbc="T T T"
I 0.0000 0.0000 0.0000
I 0.5491 -6.6093 1.0284
Au 0.2296 -3.8313 1.1861
Au -1.4936 -3.9848 -1.2250
Au 0.7475 -7.8506 -1.4743
Au -0.6582 -10.1956 -0.3203
F -1.9407 -2.7010 0.8391
F -1.1365 -6.3219 -1.9452
```


Entry 8:
First-principles (PBE) data for a relaxed BiPt crystal, as listed in Alexandria via LeMat-Bulk.

Properties
**V**: 50 Å³/f.u.
**Symmetry**: Cmcm (63)
**Energy relative to the elements**: -0.20 eV/atom

extended XYZ file:
```
8
Lattice="-1.2991 0.2540 -5.1786 3.7023 -7.3949 -1.2914 -3.8670 -2.0875 0.8677" Properties=species:S:1:pos:R:3 pbc="T T T"
Bi 1.9715 -6.3907 -0.8080
Bi -2.1362 -3.0917 0.3843
Bi -0.5292 -2.5663 -2.7516
Bi -0.9346 -6.6622 -2.8507
Pt 0.5507 -3.5528 -0.3124
Pt -0.7154 -5.9297 -0.1113
Pt 1.7523 -7.1233 -3.5474
Pt -3.2161 -2.1052 -2.0549
```


Entry 9:
First-principles (PBE) data for a relaxed DyPaSbO6 crystal, as listed in Alexandria via LeMat-Bulk.

Properties
**Electronic total energy**: -144.77 eV for the cell shown
**V**: 132 Å³/f.u.
**Symmetry**: P-31c (163)

extended XYZ file:
```
18
Lattice="5.6168 0.0000 0.0000 -2.8084 4.8643 0.0000 0.0000 0.0000 9.6269" Properties=species:S:1:pos:R:3 pbc="T T T"
Dy 0.0000 3.2429 2.4067
Dy 2.8084 1.6214 7.2202
Pa 0.0000 0.0000 0.0000
Pa 0.0000 0.0000 4.8135
Sb 2.8084 1.6214 2.4067
Sb 0.0000 3.2429 7.2202
O 1.9669 3.2285 1.2409
O 4.6209 1.5466 1.2409
O -0.9710 4.7751 6.0544
O -1.8125 3.3176 8.3860
O 0.9959 1.5466 3.5725
O 3.6499 3.2285 3.5725
O 0.9710 4.7751 8.3860
O 3.7794 0.0892 3.5725
O -0.8415 1.6358 6.0544
O 1.8374 0.0892 1.2409
O 1.8125 3.3176 6.0544
O 0.8415 1.6358 8.3860
```


Entry 10:
First-principles (PBE) data for a relaxed Ba2NaSrCo crystal, as listed in Alexandria via LeMat-Bulk.

Properties
**V**: 221 Å³/f.u.
**Symmetry**: P4/mmm (123)
**Energy relative to the elements**: 0.20 eV/atom

extended XYZ file:
```
5
Lattice="-3.1314 -5.0388 -1.2156 -0.0265 -1.4047 5.8906 -5.1480 3.0304 0.6995" Properties=species:S:1:pos:R:3 pbc="T T T"
Sr -2.5740 1.5152 0.3497
Co 0.0000 0.0000 0.0000
Ba -0.0132 -0.7023 2.9453
Ba -1.5657 -2.5194 -0.6078
Na -4.1529 -1.7065 2.6872
```


Entry 11:
First-principles (PBE) data for a relaxed NiPtSe3 crystal, as listed in Alexandria via LeMat-Bulk.

Properties
**V**: 99 Å³/f.u.
**Energy relative to the lowest polymorph listed for this composition**: 864.8 meV per atom
**Symmetry**: Pm-3m (221)

extended XYZ file:
```
5
Lattice="-0.2941 0.2982 -4.6028 3.9788 -2.3167 -0.4043 -2.3333 -3.9882 -0.1093" Properties=species:S:1:pos:R:3 pbc="T T T"
Ni 0.0000 0.0000 0.0000
Se 1.9894 -1.1584 -0.2022
Se -1.1666 -1.9941 -0.0547
Se -0.1470 0.1491 -2.3014
Pt 0.6757 -3.0033 -2.5582
```


Entry 12:
First-principles (PBE) data for a relaxed VCu2Pd8 crystal, as listed in Alexandria via LeMat-Bulk.

Properties
**V**: 185 Å³/f.u.
**Energy relative to the lowest polymorph listed for this composition**: 329.0 meV per atom
**Symmetry**: C2/m (12)
**Energy relative to the elements**: 0.18 eV/atom

extended XYZ file:
```
11
Lattice="-0.5098 1.9293 4.1889 3.5793 -3.8858 3.7258 5.1395 3.9080 0.3259" Properties=species:S:1:pos:R:3 pbc="T T T"
V 0.0000 0.0000 0.0000
Cu 0.9559 0.9064 2.5164
Cu 7.2531 1.0451 5.7242
Pd 3.6457 3.5790 4.1596
Pd 5.3750 2.4271 2.3123
Pd 1.8252 1.7237 4.7891
Pd 6.3838 0.2277 3.4515
Pd 2.8340 -0.4756 5.9283
Pd 4.5633 -1.6275 4.0811
Pd 3.4836 0.5857 2.9412
Pd 4.7254 1.3658 5.2994
```


Entry 13:
First-principles (PBE) data for a relaxed NbGa2Fe crystal, as listed in Alexandria via LeMat-Bulk.

Properties
**V**: 61 Å³/f.u.
**Symmetry**: R-3m (166)
**Energy relative to the elements**: -0.03 eV/atom

extended XYZ file:
```
4
Lattice="-0.8432 -2.6991 2.9115 2.5815 -0.5280 3.0871 -1.4451 1.9393 4.2082" Properties=species:S:1:pos:R:3 pbc="T T T"
Nb 0.1466 -0.6439 5.1034
Fe 0.0000 0.0000 0.0000
Ga 0.2098 -0.5253 2.4028
Ga 0.0834 -0.7626 7.8040
```


Entry 14:
First-principles (PBE) data for a relaxed Cr2TcSb crystal, as listed in Alexandria via LeMat-Bulk.

Properties
**Electronic total energy**: -32.56 eV for the cell shown
**V**: 61 Å³/f.u.
**Symmetry**: I4/mmm (139)

extended XYZ file:
```
4
Lattice="-2.6108 3.8997 -0.6241 -4.0812 -1.3924 -1.9541 2.2286 -1.5899 3.8625" Properties=species:S:1:pos:R:3 pbc="T T T"
Cr 0.0000 0.0000 0.0000
Cr -3.3460 1.2537 -1.2891
Sb -2.5993 -0.8643 0.3097
Tc -1.8641 1.7817 0.9747
```


Entry 15:
First-principles (PBE) data for a relaxed Ac4SbPtI2 crystal, as listed in Alexandria via LeMat-Bulk.

Properties
**Electronic total energy**: -38.66 eV for the cell shown
**V**: 314 Å³/f.u.
**Symmetry**: P2/m (10)

extended XYZ file:
```
8
Lattice="4.4985 0.0000 0.0000 0.0000 8.4692 0.3361 0.0000 -2.7978 8.1238" Properties=species:S:1:pos:R:3 pbc="T T T"
Ac 2.2492 1.5853 1.7892
Ac 2.2492 4.0861 6.6708
Ac 0.0000 0.2394 6.6645
Ac 0.0000 5.4321 1.7954
Sb 0.0000 0.0000 0.0000
Pt 2.2492 4.2346 0.1681
I 2.2492 -1.3989 4.0619
I 0.0000 2.8357 4.2300
```


Entry 16:
First-principles (PBE) data for a relaxed IrN2ClF crystal, as listed in Alexandria via LeMat-Bulk.

Properties
**V**: 63 Å³/f.u.
**Energy relative to the lowest polymorph listed for this composition**: 0.0 meV per atom
**Symmetry**: P4/mmm (123)

extended XYZ file:
```
5
Lattice="-3.2193 1.2451 -1.7488 -1.7687 -3.3248 0.8889 -1.3195 1.6691 3.6174" Properties=species:S:1:pos:R:3 pbc="T T T"
N -0.8843 -1.6624 0.4445
N -1.6097 0.6225 -0.8744
F -0.6598 0.8345 1.8087
Ir 0.0000 0.0000 0.0000
Cl -3.1538 -0.2053 1.3787
```


Entry 17:
First-principles (PBE) data for a relaxed In2Hg6P3Cl9 crystal, as listed in Alexandria via LeMat-Bulk.

Properties
**Electronic total energy**: -105.54 eV for the cell shown
**V**: 573 Å³/f.u.
**Symmetry**: P2_1 (4)

extended XYZ file:
```
40
Lattice="10.8918 0.0000 0.0000 0.0000 10.6330 0.0362 0.0000 4.9768 9.9039" Properties=species:S:1:pos:R:3 pbc="T T T"
In 9.5428 8.3533 9.0149
In 4.0969 7.2565 0.9252
In 8.1488 10.7253 6.6731
In 2.7029 4.8844 3.2669
Hg 5.2347 6.8315 9.8996
Hg 10.6806 8.7783 0.0405
Hg 6.0255 5.9727 6.1187
Hg 0.5796 9.6370 3.8213
Hg 3.3937 8.7939 6.6115
Hg 8.8396 6.8158 3.3286
Hg 7.8163 10.3347 2.2523
Hg 2.3704 5.2751 7.6877
Hg 7.0008 3.2997 3.3718
Hg 1.5549 12.3101 6.5683
Hg 4.1391 11.3105 3.6573
Hg 9.5850 4.2992 6.2828
P 6.0365 1.3736 2.2407
P 0.5906 14.2362 7.6994
P 7.8531 5.1113 4.7552
P 2.4072 10.4985 5.1849
P 4.3038 6.7861 7.6507
P 9.7497 8.8236 2.2893
Cl 8.5790 6.0318 9.0182
Cl 3.1331 9.5779 0.9219
Cl 9.4983 11.8087 4.8186
Cl 4.0524 3.8011 5.1215
Cl 7.1451 9.3485 8.6544
Cl 1.6992 6.2612 1.2856
Cl 10.0998 10.9414 8.4321
Cl 4.6539 4.6684 1.5080
Cl 9.4798 8.4422 6.3096
Cl 4.0339 7.1675 3.6304
Cl 6.4117 9.7147 5.1831
Cl 0.9658 5.8951 4.7570
Cl 7.2196 12.9289 7.2139
Cl 1.7737 2.6809 2.7262
Cl 9.3776 3.8846 1.5244
Cl 3.9317 11.7251 8.4157
Cl 1.0326 7.7719 8.8579
Cl 6.4785 7.8379 1.0822
```


Entry 18:
First-principles (PBE) data for a relaxed Sn3Pb crystal, as listed in Alexandria via LeMat-Bulk.

Properties
**V**: 118 Å³/f.u.
**Symmetry**: Pmmm (47)
**Energy relative to the elements**: 0.06 eV/atom

extended XYZ file:
```
4
Lattice="-0.3636 -1.2696 -2.8378 -1.3558 -2.7140 1.3879 -10.2034 4.6922 -0.7921" Properties=species:S:1:pos:R:3 pbc="T T T"
Sn -3.3033 -0.1497 0.4902
Sn -5.1017 2.3461 -0.3961
Sn -8.2559 2.1279 0.1057
Pb 0.0000 0.0000 0.0000
```


Entry 19:
First-principles (PBE) data for a relaxed AgRuSeO2 crystal, as listed in Alexandria via LeMat-Bulk.

Properties
**Electronic total energy**: -27.70 eV for the cell shown
**V**: 79 Å³/f.u.
**Symmetry**: P4/mmm (123)

extended XYZ file:
```
5
Lattice="3.7805 0.0000 0.0000 0.0000 5.5400 0.0000 0.0000 0.0000 3.7805" Properties=species:S:1:pos:R:3 pbc="T T T"
O 0.0000 0.0000 1.8902
O 1.8902 0.0000 0.0000
Ru 0.0000 0.0000 0.0000
Se 0.0000 2.7700 0.0000
Ag 1.8902 2.7700 1.8902
```


Entry 20:
First-principles (PBE) data for a relaxed NaPb2Br crystal, as listed in Alexandria via LeMat-Bulk.

Properties
**V**: 156 Å³/f.u.
**Energy relative to the lowest polymorph listed for this composition**: 0.0 meV per atom
**Symmetry**: I-42d (122)

extended XYZ file:
```
8
Lattice="10.7938 0.0000 0.0000 0.0000 10.7938 0.0000 5.3969 5.3969 2.6796" Properties=species:S:1:pos:R:3 pbc="T T T"
Pb 8.9150 2.6984 0.6699
Pb 1.8788 8.0953 0.6699
Pb 8.0953 7.2757 2.0097
Pb 13.4922 14.3119 2.0097
Na 5.3969 5.3969 0.0000
Na 5.3969 10.7938 1.3398
Br 0.0000 0.0000 0.0000
Br 10.7938 5.3969 1.3398
```